No. 1
8
Lattice="-1.916 1.916 9.725 1.916 -1.916 9.725 1.916 1.916 -9.725" Properties=species:S:1:pos:R:3 comment="ZrZn2Ir PBE optimized geometry" sg="I-42d, No. 122" delta_e_f_mev_per_atom=-145 pbc="T T T"
Zr 0.000 0.000 0.000
Zr 0.000 1.916 4.863
Zn 0.958 -0.854 7.294
Zn 1.062 0.958 2.431
Zn 0.958 2.771 -2.431
Zn 0.854 0.958 12.157
Ir 1.916 0.000 4.863
Ir 0.000 0.000 9.725

=====

No. 2
5
Lattice="5.156 0.000 0.000 0.000 5.156 0.000 0.000 0.000 5.156" Properties=species:S:1:pos:R:3 comment="CaCuS3 PBE optimized geometry" sg="Pm-3m, No. 221" e_above_lowest_polymorph_ev_per_fu=5.07 raw_formation_energy_mev_per_atom=540 pbc="T T T"
Ca 0.000 0.000 0.000
Cu 2.578 2.578 2.578
S 0.000 0.000 2.578
S 0.000 2.578 0.000
S 2.578 0.000 0.000

=====

| no. | M_tot (μB per formula unit) | mass density (g/cm³) | total energy (eV per atom) |
| --- | --- | --- | --- |
| 1 | 0.000 | 9.63 | -5.134 |
| 2 | 0.000 | 2.42 | -3.156 |